[1]
The following is a PBE calculation of a geometry-optimized Li2Sn3Au2 structure, from Alexandria via LeMat-Bulk.

Results
crystal system	monoclinic
distance to the lowest polymorph of the same formula	19	meV/atom
formation energy from the elements	-0.27	eV per atom
total magnetization	0.00	μB/f.u.

Unit cell a=5.2700 b=5.2700 c=7.6032 alpha=109.18 beta=109.18 gamma=53.16
Positions (direct):
Li (0.2368, 0.2368, 0.3315)
Li (0.7632, 0.7632, 0.6685)
Sn (0.0000, 0.0000, 0.5000)
Sn (0.3071, 0.3071, 0.9333)
Sn (0.6929, 0.6929, 0.0667)
Au (0.4566, 0.4566, 0.6844)
Au (0.5434, 0.5434, 0.3156)

[2]
The following is a PBE calculation of a geometry-optimized Li2MnRh structure, from Alexandria via LeMat-Bulk.

Results
crystal system	trigonal
distance to the lowest polymorph of the same formula	130	meV/atom
formation energy from the elements	0.07	eV per atom
total magnetization	4.30	μB/f.u.

Unit cell a=9.2462 b=9.2462 c=9.2462 alpha=17.39 beta=17.39 gamma=17.39
Positions (direct):
Li (0.0000, 0.0000, 0.0000)
Li (0.2374, 0.2374, 0.2374)
Mn (0.4860, 0.4860, 0.4860)
Rh (0.7438, 0.7438, 0.7438)

[3]
The following is a PBE calculation of a geometry-optimized ReAg2W structure, from Alexandria via LeMat-Bulk.

Results
crystal system	monoclinic
distance to the lowest polymorph of the same formula	247	meV/atom
formation energy from the elements	0.60	eV per atom
total magnetization	0.00	μB/f.u.

Unit cell a=5.1631 b=5.1631 c=4.8704 alpha=98.34 beta=98.34 gamma=30.62
Positions (direct):
Re (0.0000, 0.0000, 0.0000)
Ag (0.2512, 0.2512, 0.7503)
Ag (0.7488, 0.7488, 0.2497)
W (0.5000, 0.5000, 0.5000)

[4]
The following is a PBE calculation of a geometry-optimized TaPAu4 structure, from Alexandria via LeMat-Bulk.

Results
crystal system	cubic
formation energy from the elements	0.60	eV per atom
total magnetization	1.37	μB/f.u.

Unit cell a=5.4341 b=5.4341 c=5.4341 alpha=60.00 beta=60.00 gamma=60.00
Positions (direct):
Ta (0.0000, 0.0000, 0.0000)
P (0.2500, 0.2500, 0.2500)
Au (0.1250, 0.6250, 0.6250)
Au (0.6250, 0.1250, 0.6250)
Au (0.6250, 0.6250, 0.1250)
Au (0.6250, 0.6250, 0.6250)

[5]
The following is a PBE calculation of a geometry-optimized RbNbHg3 structure, from Alexandria via LeMat-Bulk.

Results
crystal system	cubic
distance to the lowest polymorph of the same formula	0	meV/atom
formation energy from the elements	0.33	eV per atom
total magnetization	2.76	μB/f.u.

Unit cell a=5.6013 b=5.6013 c=5.6013 alpha=90.00 beta=90.00 gamma=90.00
Positions (direct):
Rb (0.0000, 0.0000, 0.0000)
Nb (0.5000, 0.5000, 0.5000)
Hg (0.0000, 0.5000, 0.5000)
Hg (0.5000, 0.0000, 0.5000)
Hg (0.5000, 0.5000, 0.0000)

[6]
The following is a PBE calculation of a geometry-optimized Sc2PRh structure, from Alexandria via LeMat-Bulk.

Results
crystal system	orthorhombic
formation energy from the elements	-0.92	eV per atom
total magnetization	0.00	μB/f.u.

Unit cell a=5.8671 b=5.8671 c=5.4748 alpha=90.00 beta=90.00 gamma=129.86
Positions (direct):
Sc (0.0000, 0.0000, 0.0000)
Sc (0.0000, 0.0000, 0.5000)
Sc (0.3044, 0.6956, 0.7500)
Sc (0.6956, 0.3044, 0.2500)
P (0.2207, 0.7793, 0.2500)
P (0.7793, 0.2207, 0.7500)
Rh (0.4374, 0.5626, 0.2500)
Rh (0.5626, 0.4374, 0.7500)